UPaMnO6 | GGA+U | optimized geometry

abc: 5.8777 5.8777 8.9149
angles: 90.00 90.00 120.00
Atoms (fractional coordinates):
1 U 0.3333 0.6667 0.2500
2 U 0.6667 0.3333 0.7500
3 Pa 0.3333 0.6667 0.7500
4 Pa 0.6667 0.3333 0.2500
5 Mn 0.0000 0.0000 0.0000
6 Mn 0.0000 0.0000 0.5000
7 O 0.0043 0.3487 0.1341
8 O 0.0043 0.6556 0.3659
9 O 0.3444 0.3487 0.3659
10 O 0.3444 0.9957 0.1341
11 O 0.3487 0.0043 0.6341
12 O 0.3487 0.3444 0.8659
13 O 0.6513 0.6556 0.1341
14 O 0.6513 0.9957 0.3659
15 O 0.6556 0.0043 0.8659
16 O 0.6556 0.6513 0.6341
17 O 0.9957 0.3444 0.6341
18 O 0.9957 0.6513 0.8659

Values from the calculation:
E   -9.33 eV/atom
Total magnetization   12.0 μB/cell